No. 1
Entry from Alexandria via LeMat-Bulk: a relaxed BaSi2Ni crystal (PBE-GGA).

Lattice parameters (Å, degrees): 5.044 5.044 8.344 72.41 72.41 90.00
Fractional positions:
Si: 0.375 0.625 0.250
Si: 0.375 0.625 0.750
Ba: 0.750 0.250 0.500
Ni: 0.250 0.750 0.500
Si: 0.375 0.125 0.250
Ni: 0.500 0.500 0.000
Ba: 0.000 0.000 0.000
Si: 0.875 0.625 0.750

DOS at the Fermi energy: 2.976 states/eV/cell
ΔE_f (raw): -0.324 eV per atom

No. 2
Entry from Alexandria via LeMat-Bulk: a relaxed CdAg5Pd8 crystal (PBE-GGA).

Lattice parameters (Å, degrees): 6.849 6.849 6.849 110.32 107.79 110.32
Fractional positions:
Pd: 0.746 0.274 0.342
Ag: 0.287 0.084 0.967
Cd: 0.250 0.500 0.750
Pd: 0.658 0.404 0.932
Pd: 0.357 0.287 0.426
Pd: 0.528 0.596 0.254
Pd: 0.138 0.713 0.070
Pd: 0.930 0.069 0.643
Ag: 0.796 0.679 0.713
Ag: 0.500 0.000 0.500
Ag: 0.033 0.321 0.117
Pd: 0.574 0.931 0.862
Pd: 0.068 0.726 0.472
Ag: 0.883 0.916 0.204

calculated formation energy: 0.1091 eV per atom
DOS at the Fermi energy: 10.042 states/eV/cell

No. 3
Entry from Alexandria via LeMat-Bulk: a relaxed Y2Fe17H3 crystal (PBE-GGA).

Lattice parameters (Å, degrees): 8.194 8.542 8.542 120.00 90.00 90.00
Site moments in Bohr magnetons follow the coordinates.
Fractional positions:
Fe: 0.250 0.952 0.623  2.21
Fe: 0.985 0.334 0.167  2.29
Fe: 0.500 0.500 0.500  2.17
Y: 0.750 0.000 0.000  -0.28
Fe: 0.015 0.666 0.833  2.29
Fe: 0.894 0.333 0.667  2.61
Fe: 0.000 0.500 0.000  2.17
Fe: 0.250 0.671 0.048  2.21
Fe: 0.250 0.671 0.623  2.21
Fe: 0.750 0.623 0.952  2.21
Fe: 0.106 0.667 0.333  2.61
Fe: 0.515 0.833 0.167  2.29
Fe: 0.750 0.048 0.671  2.21
Y: 0.750 0.667 0.333  -0.31
Fe: 0.015 0.167 0.334  2.29
Y: 0.250 0.000 0.000  -0.28
H: 0.250 0.670 0.835  -0.02
Fe: 0.750 0.623 0.671  2.21
Fe: 0.485 0.167 0.833  2.29
Fe: 0.250 0.377 0.329  2.21
H: 0.750 0.835 0.670  -0.02
Fe: 0.515 0.334 0.167  2.29
Fe: 0.985 0.833 0.167  2.29
Fe: 0.000 0.500 0.500  2.17
Fe: 0.750 0.329 0.952  2.21
Fe: 0.750 0.329 0.377  2.21
Fe: 0.985 0.833 0.666  2.29
Fe: 0.485 0.167 0.334  2.29
H: 0.750 0.330 0.165  -0.02
Fe: 0.485 0.666 0.833  2.29
Fe: 0.000 0.000 0.500  2.17
Fe: 0.500 0.000 0.500  2.17
H: 0.750 0.835 0.165  -0.02
Fe: 0.250 0.952 0.329  2.21
Fe: 0.500 0.500 0.000  2.17
Fe: 0.515 0.833 0.666  2.29
Fe: 0.750 0.048 0.377  2.21
Fe: 0.015 0.167 0.833  2.29
Fe: 0.606 0.333 0.667  2.61
Y: 0.250 0.333 0.667  -0.31
Fe: 0.394 0.667 0.333  2.61
H: 0.250 0.165 0.835  -0.02
Fe: 0.250 0.377 0.048  2.21
H: 0.250 0.165 0.330  -0.02

total DFT energy (no corrections): -7.6514 eV/atom
DOS at the Fermi energy: 47.632 states/eV/cell